# 1
This record from Alexandria describes a relaxed structure of Er4AgRhAu2. The functional is GGA-PBE.

Calculated values
Space-group type: R-3m (166)
Crystal system: trigonal

a b c (Å): 5.010 5.010 8.629
angles (deg): 73.12 73.12 60.00
Fractional coordinates of all 8 atoms:
Er: 0.381 0.381 0.857
Er: 0.870 0.870 0.390
Er: 0.130 0.130 0.610
Er: 0.619 0.619 0.143
Ag: 0.000 0.000 0.000
Rh: 0.500 0.500 0.500
Au: 0.744 0.744 0.767
Au: 0.256 0.256 0.233


# 2
This record from Alexandria describes a relaxed structure of ErAgRhAu. The functional is GGA-PBE.

Calculated values
Space-group type: Pmmm (47)
Crystal system: orthorhombic
Distance to the lowest polymorph of the same formula in meV per atom: 0

a b c (Å): 4.019 4.093 4.440
angles (deg): 90.00 90.00 90.00
Fractional coordinates of all 4 atoms:
Er: 0.500 0.000 0.500
Ag: 0.500 0.500 0.000
Rh: 0.000 0.500 0.500
Au: 0.000 0.000 0.000


# 3
This record from Alexandria describes a relaxed structure of ErAgRhAu. The functional is GGA-PBE.

Calculated values
Space-group type: F-43m (216)
Crystal system: cubic
Distance to the lowest polymorph of the same formula in meV per atom: 135

a b c (Å): 4.740 4.740 4.740
angles (deg): 60.00 60.00 60.00
Fractional coordinates of all 4 atoms:
Rh: 0.500 0.500 0.500
Au: 0.000 0.000 0.000
Ag: 0.250 0.250 0.250
Er: 0.750 0.750 0.750


no.,calculated formation energy (eV per atom)
1,-0.751
2,-0.591
3,-0.456